# TcNi2 GGA-PBEsol relaxed
# D(E_F)	1.24	states/eV/atom
# density	10.3	g/cm3
# electronic total energy	-7.867	eV/atom
# formation energy	-0.01	eV/atom
# distance to the lowest polymorph of the same formula	46	meV/atom
data_TcNi2
_space_group_name_H-M_alt 'I 4/m m m'
_space_group_IT_number 139
_space_group_name_Hall '-I 4 2'
_cell_length_a 2.5636
_cell_length_b 2.5636
_cell_length_c 10.5318
_cell_angle_alpha 90.00
_cell_angle_beta 90.00
_cell_angle_gamma 90.00
loop_
_atom_site_label
_atom_site_type_symbol
_atom_site_fract_x
_atom_site_fract_y
_atom_site_fract_z
Tc1 Tc 0.0000 0.0000 0.0000
Ni1 Ni 0.0000 0.0000 0.3305

***

# SiSbAu2F GGA-PBEsol relaxed
# D(E_F)	0.25	states/eV/atom
# density	8.4	g/cm3
# electronic total energy	-3.893	eV/atom
# uncorrected formation energy	59	kJ/mol of formula units
data_SiSbAu2F
_space_group_name_H-M_alt 'P 4/m m m'
_space_group_IT_number 123
_space_group_name_Hall '-P 4 2'
_cell_length_a 4.6120
_cell_length_b 4.6120
_cell_length_c 5.2338
_cell_angle_alpha 90.00
_cell_angle_beta 90.00
_cell_angle_gamma 90.00
loop_
_atom_site_label
_atom_site_type_symbol
_atom_site_fract_x
_atom_site_fract_y
_atom_site_fract_z
Si1 Si 0.0000 0.0000 0.0000
Sb1 Sb 0.0000 0.0000 0.5000
Au1 Au 0.0000 0.5000 0.0000
F1 F 0.5000 0.5000 0.5000

***

# ZrAl2Pt GGA-PBEsol relaxed
# D(E_F)	0.62	states/eV/atom
# density	8.4	g/cm3
# electronic total energy	-6.494	eV/atom
# formation energy	-0.44	eV/atom
data_ZrAl2Pt
_space_group_name_H-M_alt 'R -3 m'
_space_group_IT_number 166
_space_group_name_Hall '-R 3 2"'
_cell_length_a 2.9377
_cell_length_b 2.9377
_cell_length_c 27.1353
_cell_angle_alpha 90.00
_cell_angle_beta 90.00
_cell_angle_gamma 120.00
loop_
_atom_site_label
_atom_site_type_symbol
_atom_site_fract_x
_atom_site_fract_y
_atom_site_fract_z
Zr1 Zr 0.0000 0.0000 0.0000
Al1 Al 0.0000 0.0000 0.2411
Pt1 Pt 0.0000 0.0000 0.5000